Below is an optimized crystal structure of SbIBr3, with properties calculated at the PBE level.

Properties
SG = Pm-3m
Energy = -11.37 eV/cell
E_form (uncorrected) = -136 meV/atom

Geometry as POSCAR:
```
SbIBr3
1.0
5.624 0.000 0.000
0.000 5.624 0.000
0.000 0.000 5.624
Sb I Br
1 1 3
Cartesian
0.000 0.000 0.000
2.812 2.812 2.812
0.000 0.000 2.812
0.000 2.812 0.000
2.812 0.000 0.000
```

Below is an optimized crystal structure of SbIBr2, with properties calculated at the PBE level.

Properties
SG = P2_1/c
Energy = -44.07 eV/cell
E_form (uncorrected) = -500 meV/atom

Geometry as POSCAR:
```
SbIBr2
1.0
7.518 0.000 0.000
0.000 7.090 0.000
-6.934 0.000 13.174
Sb I Br
4 4 8
Cartesian
-1.569 0.235 5.446
-5.035 3.310 12.033
5.620 3.780 1.141
2.153 6.855 7.728
-3.744 1.743 10.062
-0.278 1.802 3.475
0.862 5.288 9.699
4.329 5.347 3.112
0.335 5.149 1.120
-3.132 5.486 7.707
-0.518 1.581 7.451
2.948 1.964 0.864
-2.364 5.126 12.311
1.103 5.509 5.723
3.717 1.604 5.467
0.250 1.941 12.055
```

Below is an optimized crystal structure of Sb3IBr, with properties calculated at the PBE level.

Properties
SG = Pm-3m
Energy = -10.43 eV/cell
E_form (uncorrected) = 1033 meV/atom

Geometry as POSCAR:
```
Sb3IBr
1.0
5.830 0.000 0.000
0.000 5.830 0.000
0.000 0.000 5.830
Sb I Br
3 1 1
Cartesian
0.000 0.000 2.915
0.000 2.915 0.000
2.915 0.000 0.000
0.000 0.000 0.000
2.915 2.915 2.915
```